# Nd2InTe | the Alexandria database | PBE | optimized geometry
data_Nd2InTe
_chemical_formula_sum 'Nd4 In2 Te2'
_cell_length_a 4.438
_cell_length_b 4.638
_cell_length_c 12.504
_cell_angle_alpha 100.69
_cell_angle_beta 90.00
_cell_angle_gamma 90.00
_symmetry_space_group_name_H-M 'P 1'
_symmetry_Int_Tables_number 1
loop_
_symmetry_equiv_pos_as_xyz
'x,y,z'
loop_
_atom_site_label
_atom_site_type_symbol
_atom_site_fract_x
_atom_site_fract_y
_atom_site_fract_z
In1 In 0.250 0.458 0.916
Nd1 Nd 0.750 0.678 0.356
Te1 Te 0.750 0.808 0.615
Te2 Te 0.250 0.192 0.385
Nd2 Nd 0.250 0.065 0.130
In2 In 0.750 0.542 0.084
Nd3 Nd 0.250 0.322 0.644
Nd4 Nd 0.750 0.935 0.870
# - energy relative to the elements, uncorrected (eV/f.u.) = -3.928
# - energy above the lowest structure with this stoichiometry (eV per formula unit) = 0.000
# - raw total energy (eV/atom) = -4.84
# - spin magnetization (μB per cell) = 0.0
# - symmetry = Cmcm



# Nd4In2Te | the Alexandria database | PBE | optimized geometry
data_Nd4In2Te
_chemical_formula_sum 'Nd8 In4 Te2'
_cell_length_a 6.653
_cell_length_b 6.540
_cell_length_c 10.776
_cell_angle_alpha 90.00
_cell_angle_beta 106.79
_cell_angle_gamma 90.00
_symmetry_space_group_name_H-M 'P 1'
_symmetry_Int_Tables_number 1
loop_
_symmetry_equiv_pos_as_xyz
'x,y,z'
loop_
_atom_site_label
_atom_site_type_symbol
_atom_site_fract_x
_atom_site_fract_y
_atom_site_fract_z
Te1 Te 0.915 0.250 0.839
In1 In 0.710 0.750 0.555
Nd1 Nd 0.882 0.250 0.549
Nd2 Nd 0.474 0.490 0.733
In2 In 0.421 0.250 0.000
Nd3 Nd 0.118 0.750 0.451
Te2 Te 0.085 0.750 0.161
Nd4 Nd 0.035 0.750 0.863
Nd5 Nd 0.526 0.510 0.267
In3 In 0.579 0.750 0.000
Nd6 Nd 0.474 0.010 0.733
In4 In 0.290 0.250 0.445
Nd7 Nd 0.526 0.990 0.267
Nd8 Nd 0.965 0.250 0.137
# - energy relative to the elements, uncorrected (eV/f.u.) = -3.684
# - raw total energy (eV/atom) = -4.48
# - spin magnetization (μB per cell) = 0.0
# - symmetry = P2_1/m



# Nd2InTe4 | the Alexandria database | PBE | optimized geometry
data_Nd2InTe4
_chemical_formula_sum 'Nd2 In1 Te4'
_cell_length_a 4.477
_cell_length_b 7.972
_cell_length_c 8.726
_cell_angle_alpha 118.87
_cell_angle_beta 104.86
_cell_angle_gamma 90.00
_symmetry_space_group_name_H-M 'P 1'
_symmetry_Int_Tables_number 1
loop_
_symmetry_equiv_pos_as_xyz
'x,y,z'
loop_
_atom_site_label
_atom_site_type_symbol
_atom_site_fract_x
_atom_site_fract_y
_atom_site_fract_z
Nd1 Nd 0.262 0.248 0.524
Te1 Te 0.119 0.793 0.237
In1 In 0.000 0.000 0.000
Nd2 Nd 0.738 0.752 0.476
Te2 Te 0.366 0.711 0.732
Te3 Te 0.881 0.207 0.763
Te4 Te 0.634 0.289 0.268
# - energy relative to the elements, uncorrected (eV/f.u.) = -7.238
# - raw total energy (eV/atom) = -4.58
# - spin magnetization (μB per cell) = 0.0
# - symmetry = C2/m



# Nd4InTe2 | the Alexandria database | PBE | optimized geometry
data_Nd4InTe2
_chemical_formula_sum 'Nd8 In2 Te4'
_cell_length_a 8.561
_cell_length_b 8.561
_cell_length_c 8.554
_cell_angle_alpha 108.86
_cell_angle_beta 108.86
_cell_angle_gamma 110.73
_symmetry_space_group_name_H-M 'P 1'
_symmetry_Int_Tables_number 1
loop_
_symmetry_equiv_pos_as_xyz
'x,y,z'
loop_
_atom_site_label
_atom_site_type_symbol
_atom_site_fract_x
_atom_site_fract_y
_atom_site_fract_z
Te1 Te 0.125 0.375 0.750
Nd1 Nd 0.748 0.060 0.689
Nd2 Nd 0.309 0.121 0.811
Nd3 Nd 0.371 0.059 0.311
Nd4 Nd 0.310 0.498 0.189
Nd5 Nd 0.941 0.629 0.689
Te2 Te 0.625 0.375 0.250
In1 In 0.000 0.000 0.000
Te3 Te 0.625 0.375 0.750
Nd6 Nd 0.940 0.252 0.311
Te4 Te 0.625 0.875 0.250
In2 In 0.250 0.750 0.500
Nd7 Nd 0.502 0.690 0.811
Nd8 Nd 0.879 0.691 0.189
# - energy relative to the elements, uncorrected (eV/f.u.) = -6.027
# - raw total energy (eV/atom) = -4.87
# - spin magnetization (μB per cell) = 0.0
# - symmetry = I4_1/amd



# Nd4InTe3 | the Alexandria database | PBE | optimized geometry
data_Nd4InTe3
_chemical_formula_sum 'Nd4 In1 Te3'
_cell_length_a 4.489
_cell_length_b 7.828
_cell_length_c 7.828
_cell_angle_alpha 109.08
_cell_angle_beta 90.00
_cell_angle_gamma 90.00
_symmetry_space_group_name_H-M 'P 1'
_symmetry_Int_Tables_number 1
loop_
_symmetry_equiv_pos_as_xyz
'x,y,z'
loop_
_atom_site_label
_atom_site_type_symbol
_atom_site_fract_x
_atom_site_fract_y
_atom_site_fract_z
In1 In 0.500 0.000 0.000
Te1 Te 0.000 0.500 0.000
Nd1 Nd 0.000 0.754 0.754
Nd2 Nd 0.500 0.245 0.755
Nd3 Nd 0.000 0.246 0.246
Nd4 Nd 0.500 0.755 0.245
Te2 Te 0.500 0.500 0.500
Te3 Te 0.000 0.000 0.500
# - energy relative to the elements, uncorrected (eV/f.u.) = -9.572
# - energy above the lowest structure with this stoichiometry (eV per formula unit) = 0.156
# - raw total energy (eV/atom) = -5.10
# - spin magnetization (μB per cell) = 0.0
# - symmetry = Cmmm



# Nd7In2Te2 | the Alexandria database | PBE | optimized geometry
data_Nd7In2Te2
_chemical_formula_sum 'Nd7 In2 Te2'
_cell_length_a 4.015
_cell_length_b 10.270
_cell_length_c 10.270
_cell_angle_alpha 60.38
_cell_angle_beta 78.73
_cell_angle_gamma 78.73
_symmetry_space_group_name_H-M 'P 1'
_symmetry_Int_Tables_number 1
loop_
_symmetry_equiv_pos_as_xyz
'x,y,z'
loop_
_atom_site_label
_atom_site_type_symbol
_atom_site_fract_x
_atom_site_fract_y
_atom_site_fract_z
In1 In 0.000 0.778 0.222
Nd1 Nd 0.175 0.704 0.946
In2 In 0.500 0.345 0.655
Nd2 Nd 0.825 0.054 0.296
Te1 Te 0.744 0.845 0.667
Te2 Te 0.256 0.333 0.155
Nd3 Nd 0.387 0.713 0.514
Nd4 Nd 0.149 0.132 0.569
Nd5 Nd 0.851 0.431 0.868
Nd6 Nd 0.500 0.032 0.968
Nd7 Nd 0.613 0.486 0.287
# - energy relative to the elements, uncorrected (eV/f.u.) = -6.796
# - raw total energy (eV/atom) = -4.72
# - spin magnetization (μB per cell) = 0.0
# - symmetry = Imm2



# Nd6In3Te | the Alexandria database | PBE | optimized geometry
data_Nd6In3Te
_chemical_formula_sum 'Nd12 In6 Te2'
_cell_length_a 7.650
_cell_length_b 9.265
_cell_length_c 9.265
_cell_angle_alpha 92.65
_cell_angle_beta 90.00
_cell_angle_gamma 90.00
_symmetry_space_group_name_H-M 'P 1'
_symmetry_Int_Tables_number 1
loop_
_symmetry_equiv_pos_as_xyz
'x,y,z'
loop_
_atom_site_label
_atom_site_type_symbol
_atom_site_fract_x
_atom_site_fract_y
_atom_site_fract_z
In1 In 0.495 0.994 0.695
Nd1 Nd 0.202 0.210 0.527
Nd2 Nd 0.585 0.149 0.326
Nd3 Nd 0.085 0.326 0.149
In2 In 0.995 0.006 0.305
Nd4 Nd 0.774 0.995 0.005
Nd5 Nd 0.585 0.674 0.851
In3 In 0.447 0.501 0.499
Nd6 Nd 0.688 0.308 0.692
Nd7 Nd 0.702 0.790 0.473
In4 In 0.995 0.695 0.994
Nd8 Nd 0.202 0.473 0.790
Nd9 Nd 0.274 0.005 0.995
In5 In 0.495 0.305 0.006
Te1 Te 0.012 0.176 0.824
Nd10 Nd 0.702 0.527 0.210
Te2 Te 0.512 0.824 0.176
Nd11 Nd 0.085 0.851 0.674
Nd12 Nd 0.188 0.692 0.308
In6 In 0.947 0.499 0.501
# - energy relative to the elements, uncorrected (eV/f.u.) = -4.300
# - raw total energy (eV/atom) = -4.43
# - spin magnetization (μB per cell) = 0.0
# - symmetry = Cmc2_1



# Nd2InTe | the Alexandria database | PBE | optimized geometry
data_Nd2InTe
_chemical_formula_sum 'Nd8 In4 Te4'
_cell_length_a 6.379
_cell_length_b 6.379
_cell_length_c 12.798
_cell_angle_alpha 90.03
_cell_angle_beta 90.00
_cell_angle_gamma 90.00
_symmetry_space_group_name_H-M 'P 1'
_symmetry_Int_Tables_number 1
loop_
_symmetry_equiv_pos_as_xyz
'x,y,z'
loop_
_atom_site_label
_atom_site_type_symbol
_atom_site_fract_x
_atom_site_fract_y
_atom_site_fract_z
Te1 Te 0.248 0.000 0.875
Te2 Te 0.752 0.000 0.125
Nd1 Nd 0.252 0.500 0.380
Nd2 Nd 0.748 0.500 0.620
Nd3 Nd 0.752 0.000 0.370
In1 In 0.748 0.000 0.625
Te3 Te 0.248 0.500 0.625
Nd4 Nd 0.748 0.000 0.880
In2 In 0.252 0.000 0.375
Nd5 Nd 0.252 0.000 0.120
Nd6 Nd 0.248 0.500 0.870
In3 In 0.252 0.500 0.125
In4 In 0.748 0.500 0.875
Te4 Te 0.752 0.500 0.375
Nd7 Nd 0.752 0.500 0.130
Nd8 Nd 0.248 0.000 0.630
# - energy relative to the elements, uncorrected (eV/f.u.) = -3.590
# - energy above the lowest structure with this stoichiometry (eV per formula unit) = 0.338
# - raw total energy (eV/atom) = -4.75
# - spin magnetization (μB per cell) = 0.0
# - symmetry = P2/c



# Nd2InTe | the Alexandria database | PBE | optimized geometry
data_Nd2InTe
_chemical_formula_sum 'Nd2 In1 Te1'
_cell_length_a 4.199
_cell_length_b 4.199
_cell_length_c 8.944
_cell_angle_alpha 76.43
_cell_angle_beta 76.43
_cell_angle_gamma 60.00
_symmetry_space_group_name_H-M 'P 1'
_symmetry_Int_Tables_number 1
loop_
_symmetry_equiv_pos_as_xyz
'x,y,z'
loop_
_atom_site_label
_atom_site_type_symbol
_atom_site_fract_x
_atom_site_fract_y
_atom_site_fract_z
Nd1 Nd 0.078 0.078 0.766
In1 In 0.499 0.499 0.502
Te1 Te 0.668 0.668 0.997
Nd2 Nd 0.255 0.255 0.235
# - energy relative to the elements, uncorrected (eV/f.u.) = -3.238
# - energy above the lowest structure with this stoichiometry (eV per formula unit) = 0.690
# - raw total energy (eV/atom) = -4.66
# - spin magnetization (μB per cell) = 0.0
# - symmetry = R3m



# Nd5In2Te2 | the Alexandria database | PBE | optimized geometry
data_Nd5In2Te2
_chemical_formula_sum 'Nd10 In4 Te4'
_cell_length_a 8.368
_cell_length_b 8.368
_cell_length_c 9.064
_cell_angle_alpha 90.00
_cell_angle_beta 62.51
_cell_angle_gamma 90.00
_symmetry_space_group_name_H-M 'P 1'
_symmetry_Int_Tables_number 1
loop_
_symmetry_equiv_pos_as_xyz
'x,y,z'
loop_
_atom_site_label
_atom_site_type_symbol
_atom_site_fract_x
_atom_site_fract_y
_atom_site_fract_z
In1 In 0.627 0.124 0.000
Te1 Te 0.200 0.000 0.599
In2 In 0.127 0.376 0.000
In3 In 0.373 0.876 0.000
Nd1 Nd 0.000 0.000 0.000
Te2 Te 0.800 0.000 0.401
Te3 Te 0.700 0.500 0.599
In4 In 0.873 0.624 0.000
Te4 Te 0.300 0.500 0.401
Nd2 Nd 0.533 0.834 0.277
Nd3 Nd 0.190 0.166 0.277
Nd4 Nd 0.810 0.834 0.723
Nd5 Nd 0.033 0.666 0.277
Nd6 Nd 0.467 0.166 0.723
Nd7 Nd 0.967 0.334 0.723
Nd8 Nd 0.500 0.500 0.000
Nd9 Nd 0.690 0.334 0.277
Nd10 Nd 0.310 0.666 0.723
# - energy relative to the elements, uncorrected (eV/f.u.) = -7.931
# - raw total energy (eV/atom) = -4.84
# - spin magnetization (μB per cell) = 0.0
# - symmetry = Cmce



# NdInTe3 | the Alexandria database | PBE | optimized geometry
data_NdInTe3
_chemical_formula_sum 'Nd4 In4 Te12'
_cell_length_a 7.729
_cell_length_b 8.680
_cell_length_c 12.207
_cell_angle_alpha 90.00
_cell_angle_beta 90.00
_cell_angle_gamma 90.00
_symmetry_space_group_name_H-M 'P 1'
_symmetry_Int_Tables_number 1
loop_
_symmetry_equiv_pos_as_xyz
'x,y,z'
loop_
_atom_site_label
_atom_site_type_symbol
_atom_site_fract_x
_atom_site_fract_y
_atom_site_fract_z
In1 In 0.464 0.663 0.750
Te1 Te 0.845 0.177 0.557
In2 In 0.036 0.163 0.750
Te2 Te 0.637 0.996 0.250
Te3 Te 0.655 0.677 0.943
Te4 Te 0.345 0.323 0.443
In3 In 0.964 0.837 0.250
Nd1 Nd 0.000 0.500 0.500
Te5 Te 0.137 0.504 0.750
Te6 Te 0.863 0.496 0.250
Te7 Te 0.155 0.823 0.443
Te8 Te 0.155 0.823 0.057
In4 In 0.536 0.337 0.250
Nd2 Nd 0.500 0.000 0.000
Nd3 Nd 0.500 0.000 0.500
Te9 Te 0.345 0.323 0.057
Te10 Te 0.363 0.004 0.750
Nd4 Nd 0.000 0.500 0.000
Te11 Te 0.655 0.677 0.557
Te12 Te 0.845 0.177 0.943
# - energy relative to the elements, uncorrected (eV/f.u.) = -3.706
# - raw total energy (eV/atom) = -4.13
# - spin magnetization (μB per cell) = 0.0
# - symmetry = Pnma



# Nd5InTe8 | the Alexandria database | PBE | optimized geometry
data_Nd5InTe8
_chemical_formula_sum 'Nd5 In1 Te8'
_cell_length_a 8.325
_cell_length_b 8.325
_cell_length_c 8.325
_cell_angle_alpha 109.36
_cell_angle_beta 109.69
_cell_angle_gamma 109.36
_symmetry_space_group_name_H-M 'P 1'
_symmetry_Int_Tables_number 1
loop_
_symmetry_equiv_pos_as_xyz
'x,y,z'
loop_
_atom_site_label
_atom_site_type_symbol
_atom_site_fract_x
_atom_site_fract_y
_atom_site_fract_z
Te1 Te 0.633 0.397 0.881
Nd1 Nd 0.500 0.000 0.500
Te2 Te 0.764 0.248 0.367
Te3 Te 0.630 0.911 0.877
Nd2 Nd 0.748 0.624 0.632
Nd3 Nd 0.008 0.376 0.124
Te4 Te 0.966 0.089 0.719
In1 In 0.250 0.500 0.750
Te5 Te 0.123 0.753 0.034
Te6 Te 0.119 0.752 0.516
Nd4 Nd 0.876 0.884 0.252
Nd5 Nd 0.368 0.116 0.992
Te7 Te 0.281 0.247 0.370
Te8 Te 0.484 0.603 0.236
# - energy relative to the elements, uncorrected (eV/f.u.) = -18.378
# - raw total energy (eV/atom) = -5.01
# - spin magnetization (μB per cell) = 0.0
# - symmetry = I-4